[1]
Computed, not measured: an optimized crystal structure of Tb3SmTc at the PBE-GGA level of DFT.

Cell lengths 6.3919, 6.3919, 12.8798 Å; angles 110.99, 110.99, 35.90 degrees
Atoms (fractional coordinates):
Tb  0.0000  0.0000  0.0000
Tb  0.0264  0.0264  0.3763
Tb  0.3336  0.3336  0.7663
Tb  0.3621  0.3621  0.1390
Tb  0.5573  0.5573  0.6234
Tb  0.6733  0.6733  0.9034
Sm  0.6876  0.6876  0.2356
Sm  0.8007  0.8007  0.5194
Tc  0.3633  0.3633  0.3768
Tc  0.9994  0.9994  0.7670

Results
Size of the total moment in Bohr magnetons per cell: 0.000
SG: No. 8
Formation energy from the elements in eV/atom: -0.03

***

[2]
Computed, not measured: an optimized crystal structure of TbSm3Tc8 at the PBE-GGA level of DFT.

Cell lengths 9.5385, 9.5385, 9.5385 Å; angles 32.98, 32.98, 32.98 degrees
Atoms (fractional coordinates):
Tb  0.0000  0.0000  0.0000
Sm  0.1247  0.1247  0.1247
Sm  0.4996  0.4996  0.4996
Sm  0.6246  0.6246  0.6246
Tc  0.0609  0.5620  0.5620
Tc  0.0624  0.0624  0.5637
Tc  0.0624  0.5637  0.0624
Tc  0.3123  0.3123  0.3123
Tc  0.5620  0.0609  0.5620
Tc  0.5620  0.5620  0.0609
Tc  0.5637  0.0624  0.0624
Tc  0.8122  0.8122  0.8122

Results
Size of the total moment in Bohr magnetons per cell: 0.002
SG: No. 160
Formation energy from the elements in eV/atom: -0.04